First-principles (PBE-GGA) data for an optimized crystal structure of NdYHgSb, as listed in the Alexandria database.

Output
DOS at the Fermi energy	3.7	states/eV per cell
formation energy from raw total energies	-63	kJ/mol of atoms
calculated total energy	-18.25	eV/cell
space-group type	F-43m, No. 216

Cell and atoms, written as CIF:
```
data_NdYHgSb
_space_group_name_H-M_alt 'P 1'
_space_group_IT_number 1
_cell_length_a 5.377
_cell_length_b 5.377
_cell_length_c 5.377
_cell_angle_alpha 60.00
_cell_angle_beta 60.00
_cell_angle_gamma 60.00
loop_
_space_group_symop_operation_xyz
'x,y,z'
loop_
_atom_site_label
_atom_site_type_symbol
_atom_site_fract_x
_atom_site_fract_y
_atom_site_fract_z
_atom_site_occupancy
Nd1 Nd 0.000 0.000 0.000 1
Y1 Y 0.500 0.500 0.500 1
Hg1 Hg 0.250 0.250 0.250 1
Sb1 Sb 0.750 0.750 0.750 1
```